[1]
Crystalline Ca2LaCd at its relaxed geometry, computed with PBE.

Calculated values
The calculation puts the total energy at -10.07 eV/cell. Its calculated density is 3.885 g/cm³.

Cell: 3.821 3.821 11.422 Å, 80.37 80.37 60.00°
Fractional coordinates of all 4 atoms:
1 Ca 0.072 0.072 0.783
2 Ca 0.261 0.261 0.218
3 La 0.501 0.501 0.498
4 Cd 0.666 0.666 0.002


[2]
Crystalline Ca2LaCd3 at its relaxed geometry, computed with PBE.

Calculated values
The calculation puts the offset from the most stable computed form at 20.0 meV per atom. Its calculated density is 5.303 g/cm³.

Cell: 3.823 3.823 11.919 Å, 90.00 90.00 90.00°
Last column: magnetic moment on the atom in μB.
Fractional coordinates of all 6 atoms:
1 La 0.500 0.500 0.500  0.15
2 Cd 0.000 0.000 0.675  0.01
3 Cd 0.000 0.000 0.325  0.01
4 Cd 0.000 0.000 0.000  0.00
5 Ca 0.500 0.500 0.838  0.00
6 Ca 0.500 0.500 0.162  0.00


[3]
Crystalline Ca5LaCd4 at its relaxed geometry, computed with PBE.

Calculated values
The calculation puts the total energy at -21.12 eV/cell. Its calculated density is 4.291 g/cm³.

Cell: 3.802 3.802 21.122 Å, 90.00 90.00 90.00°
Fractional coordinates of all 10 atoms:
1 Ca 0.500 0.500 0.685
2 Ca 0.500 0.500 0.500
3 Ca 0.500 0.500 0.132
4 Ca 0.500 0.500 0.868
5 Ca 0.500 0.500 0.315
6 Cd 0.000 0.000 0.778
7 Cd 0.000 0.000 0.409
8 Cd 0.000 0.000 0.222
9 Cd 0.000 0.000 0.591
10 La 0.000 0.000 0.000


[4]
Crystalline Ca2LaCd at its relaxed geometry, computed with PBE.

Calculated values
The calculation puts the total energy at -10.04 eV/cell. Its calculated density is 3.865 g/cm³.

Cell: 11.453 11.453 11.453 Å, 19.23 19.23 19.23°
Fractional coordinates of all 4 atoms:
1 Cd 0.250 0.250 0.250
2 Ca 0.989 0.989 0.989
3 Ca 0.511 0.511 0.511
4 La 0.750 0.750 0.750


[5]
Crystalline CaLa4Cd at its relaxed geometry, computed with PBE.

Calculated values
The calculation puts the total energy at -21.46 eV/cell. Its calculated density is 5.412 g/cm³.

Cell: 6.748 6.748 6.748 Å, 60.00 60.00 60.00°
Fractional coordinates of all 6 atoms:
1 La 0.883 0.372 0.372
2 La 0.372 0.883 0.372
3 La 0.372 0.372 0.372
4 La 0.372 0.372 0.883
5 Cd 0.000 0.000 0.000
6 Ca 0.750 0.750 0.750


[6]
Crystalline Ca2LaCd at its relaxed geometry, computed with PBE.

Calculated values
The calculation puts the total energy at -9.91 eV/cell. Its calculated density is 4.056 g/cm³.

Cell: 6.506 6.506 6.506 Å, 134.99 134.99 65.55°
Fractional coordinates of all 4 atoms:
1 Ca 0.000 0.000 0.000
2 Ca 0.500 0.500 0.000
3 La 0.750 0.250 0.500
4 Cd 0.250 0.750 0.500


[7]
Crystalline CaLa2Cd2 at its relaxed geometry, computed with PBE.

Calculated values
The calculation puts the offset from the most stable computed form at 151.2 meV per atom. Its calculated density is 5.369 g/cm³.

Cell: 4.752 4.752 8.158 Å, 73.07 73.07 90.00°
Fractional coordinates of all 5 atoms:
1 La 0.250 0.750 0.500
2 La 0.750 0.250 0.500
3 Cd 0.593 0.593 0.814
4 Cd 0.407 0.407 0.186
5 Ca 0.000 0.000 0.000


[8]
Crystalline CaLaCd4 at its relaxed geometry, computed with PBE.

Calculated values
The calculation puts the offset from the most stable computed form at 273.7 meV per atom. Its calculated density is 5.552 g/cm³.

Cell: 4.596 10.283 3.978 Å, 90.04 89.97 89.99°
Fractional coordinates of all 6 atoms:
1 Cd 0.000 0.263 0.501
2 Cd 0.500 0.760 0.999
3 Cd 0.000 0.737 0.499
4 Cd 0.500 0.240 0.001
5 Ca 0.500 0.500 0.500
6 La 0.000 0.000 0.000


[9]
Crystalline CaLa4Cd2 at its relaxed geometry, computed with PBE.

Calculated values
The calculation puts the total energy at -24.68 eV/cell. Its calculated density is 5.833 g/cm³.

Cell: 5.648 5.648 9.063 Å, 71.85 71.85 60.00°
Fractional coordinates of all 7 atoms:
1 La 0.576 0.576 0.273
2 La 0.424 0.424 0.727
3 La 0.160 0.160 0.520
4 La 0.840 0.840 0.480
5 Cd 0.711 0.711 0.866
6 Cd 0.289 0.289 0.134
7 Ca 0.000 0.000 0.000


[10]
Crystalline Ca3La2Cd4 at its relaxed geometry, computed with PBE.

Calculated values
The calculation puts the total energy at -42.51 eV/cell. Its calculated density is 4.965 g/cm³.

Cell: 7.039 8.181 10.456 Å, 90.00 109.67 90.00°
Fractional coordinates of all 18 atoms:
1 Cd 0.343 0.480 0.687
2 Cd 0.676 0.750 0.851
3 Cd 0.324 0.250 0.149
4 Cd 0.824 0.250 0.149
5 Cd 0.843 0.020 0.687
6 Cd 0.657 0.520 0.313
7 Cd 0.157 0.980 0.313
8 Cd 0.176 0.750 0.851
9 La 0.408 0.097 0.816
10 La 0.592 0.903 0.184
11 La 0.092 0.597 0.184
12 La 0.908 0.403 0.816
13 Ca 0.490 0.250 0.479
14 Ca 0.990 0.250 0.479
15 Ca 0.510 0.750 0.521
16 Ca 0.000 0.000 0.000
17 Ca 0.010 0.750 0.521
18 Ca 0.500 0.500 0.000


[11]
Crystalline CaLa2Cd6 at its relaxed geometry, computed with PBE.

Calculated values
The calculation puts the total energy at -20.59 eV/cell. Its calculated density is 6.831 g/cm³.

Cell: 3.560 8.846 8.846 Å, 120.00 90.00 90.00°
Fractional coordinates of all 9 atoms:
1 Cd 0.500 0.000 0.670
2 Cd 0.500 0.000 0.330
3 Cd 0.500 0.670 0.670
4 Cd 0.500 0.330 0.000
5 Cd 0.500 0.330 0.330
6 Cd 0.500 0.670 0.000
7 Ca 0.000 0.000 0.000
8 La 0.000 0.667 0.333
9 La 0.000 0.333 0.667


[12]
Crystalline Ca5LaCd6 at its relaxed geometry, computed with PBE.

Calculated values
The calculation puts the total energy at -24.80 eV/cell. Its calculated density is 4.887 g/cm³.

Cell: 5.465 7.717 8.613 Å, 90.00 71.50 90.00°
Fractional coordinates of all 12 atoms:
1 La 0.000 0.000 0.000
2 Cd 0.500 0.250 0.000
3 Cd 0.500 0.750 0.000
4 Cd 0.831 0.748 0.336
5 Cd 0.831 0.252 0.336
6 Cd 0.169 0.748 0.664
7 Cd 0.169 0.252 0.664
8 Ca 0.332 0.000 0.335
9 Ca 0.000 0.500 0.000
10 Ca 0.334 0.500 0.331
11 Ca 0.668 0.000 0.665
12 Ca 0.666 0.500 0.669